No. 1
Density functional theory data (PBE) for a geometry-optimized PrY2Er4 structure.

The structure belongs to space group P2_1/m (No. 11); the cell edges are 6.1263, 6.5497 and 11.4605 Å and the angles 90.00°, 103.71° and 90.00°. The inequivalent atoms are Pr at (0.0499, 0.2500, 0.3634), Y at (0.1535, 0.2500, 0.9502), Y at (0.3918, 0.7500, 0.5108), Er at (0.1477, 0.2500, 0.6647), Er at (0.2853, 0.7500, 0.9220) and Er at (0.3510, 0.5093, 0.2104).

The energy of formation is 0.12 eV per atom. Its electronic total energy is -70.20 eV per cell. Its total magnetic moment is 0.00 μB/atom.


No. 2
Density functional theory data (PBE) for a geometry-optimized ZrReS2 structure.

The structure belongs to space group Fm-3m (No. 225); the cell edges are 6.2335, 6.2335 and 6.2335 Å and the angles 90.00°, 90.00° and 90.00°. The inequivalent atoms are Zr at (0.0000, 0.0000, 0.0000), Re at (0.0000, 0.0000, 0.5000) and S at (0.2500, 0.2500, 0.2500).

For the formation energy (no corrections), the calculation gives -274 meV per atom. Its electronic total energy is -121.39 eV per cell. Its total magnetic moment is 0.00 μB/atom.


No. 3
Density functional theory data (PBE) for a geometry-optimized HoTh2Pb structure.

The structure belongs to space group R-3m (No. 166, hexagonal axes); the cell edges are 3.4376, 3.4376 and 37.1728 Å and the angles 90.00°, 90.00° and 120.00°. The inequivalent atoms are Ho at (0.0000, 0.0000, 0.0000), Th at (0.0000, 0.0000, 0.0892) and Pb at (0.0000, 0.0000, 0.5000).

The energy of formation is 0.16 eV per atom. Its electronic total energy is -67.44 eV per cell. Its total magnetic moment is 0.00 μB/atom.


no.,calculated volume (Å³/atom)
1,31.9
2,15.1
3,31.7